Here is a geometry-optimized Ba2In6GeAu structure from Alexandria. Energies are from PBE.

## Properties
- Formation energy from the elements: -2.24 eV per formula unit
- Total magnetization: 0.00 μB per formula unit
- VASP energy: -182.488 eV for the cell shown

a = 7.3206 Å, b = 7.3206 Å, c = 40.2498 Å
α = 90.00°, β = 90.00°, γ = 120.00°
Space group R-3m (No. 166, hexagonal axes)
Inequivalent atoms, fractional coordinates:
Ba (0.0000, 0.0000, 0.1062)
Ba (0.0000, 0.0000, 0.2795)
In (0.0549, 0.5275, 0.3022)
In (0.0556, 0.5278, 0.8657)
Ge (0.0000, 0.0000, 0.4259)
Au (0.0000, 0.0000, 0.0000)
Au (0.0000, 0.0000, 0.5000)